# CsGaFeCl6 | Alexandria via LeMat-Bulk | GGA-PBE | optimized geometry
# - D(E_F) (states/eV per atom) = 0.536
# - calculated volume (A^3/atom) = 30.984
# - total magnetization (μB/cell) = 8.000
# - raw formation energy (kJ per mole of atoms) = -112.90
# - E (eV/atom) = -3.77
data_CsGaFeCl6
_space_group_name_H-M_alt 'C 1 2 1'
_space_group_IT_number 5
_space_group_name_Hall 'C 2y'
_cell_length_a 6.421
_cell_length_b 11.116
_cell_length_c 7.813
_cell_angle_alpha 90.00
_cell_angle_beta 90.10
_cell_angle_gamma 90.00
loop_
_atom_site_label
_atom_site_type_symbol
_atom_site_fract_x
_atom_site_fract_y
_atom_site_fract_z
Cs1 Cs 0.000 0.000 0.000
Ga1 Ga 0.000 0.333 0.500
Fe1 Fe 0.000 0.667 0.500
Cl1 Cl 0.120 0.497 0.678
Cl2 Cl 0.184 0.190 0.677
Cl3 Cl 0.194 0.813 0.677


# Li4Cd2O | Alexandria via LeMat-Bulk | GGA-PBE | optimized geometry
# - D(E_F) (states/eV per atom) = 0.327
# - calculated volume (A^3/atom) = 16.393
# - total magnetization (μB/cell) = 0.000
# - raw formation energy (kJ per mole of atoms) = -78.20
# - E (eV/atom) = -2.87
data_Li4Cd2O
_space_group_name_H-M_alt 'I 4/m m m'
_space_group_IT_number 139
_space_group_name_Hall '-I 4 2'
_cell_length_a 3.802
_cell_length_b 3.802
_cell_length_c 15.878
_cell_angle_alpha 90.00
_cell_angle_beta 90.00
_cell_angle_gamma 90.00
loop_
_atom_site_label
_atom_site_type_symbol
_atom_site_fract_x
_atom_site_fract_y
_atom_site_fract_z
Li1 Li 0.000 0.000 0.119
Li2 Li 0.000 0.500 0.000
Cd1 Cd 0.000 0.000 0.304
O1 O 0.000 0.000 0.000